Entry 1:
This record from Alexandria describes a relaxed As2PCl crystal. The functional is GGA-PBE.

Structure (POSCAR):
```
As2PCl
1.0
1.6632 5.0831 0.0679
-1.6632 5.0831 0.0679
0.0000 1.3532 6.2097
As P Cl
2 1 1
Direct
0.0166 0.0166 0.8738
0.2865 0.2865 0.1226
0.6943 0.6943 0.9359
0.5026 0.5026 0.5678
```

Output
formation energy (no corrections)	0.209	eV/atom
theoretical density	3.430	g/cm3
VASP energy	-3.9297	eV per atom
D(E_F)	0.442	states/eV per atom
energy above the lowest structure with this stoichiometry	15.64	kJ per mole of atoms
spin magnetization	0.0	μB per formula unit



Entry 2:
This record from Alexandria describes a relaxed AsPCl crystal. The functional is GGA-PBE.

Structure (POSCAR):
```
AsPCl
1.0
3.6661 0.0001 0.0002
-0.0001 4.2880 -0.0025
-1.7987 -1.2118 10.0996
As P Cl
2 2 2
Direct
0.1610 0.5381 0.3043
0.6512 0.9349 0.2844
0.0269 0.2242 0.0311
0.5361 0.8898 0.0498
0.2693 0.6039 0.5254
0.9269 0.1987 0.8271
```

Output
formation energy (no corrections)	-0.218	eV/atom
theoretical density	2.957	g/cm3
VASP energy	-4.1863	eV per atom
D(E_F)	0.052	states/eV per atom
energy above the lowest structure with this stoichiometry	1.23	kJ per mole of atoms
spin magnetization	0.0	μB per formula unit



Entry 3:
This record from Alexandria describes a relaxed AsPCl2 crystal. The functional is GGA-PBE.

Structure (POSCAR):
```
AsPCl2
1.0
2.9913 0.0000 0.0000
0.0000 4.2611 0.0000
0.0000 0.0000 5.9701
As Cl P
1 2 1
Direct
0.5000 0.5000 0.7500
0.0000 0.0000 0.0006
0.0000 0.0000 0.4994
0.5000 0.5000 0.2500
```

Output
formation energy (no corrections)	0.718	eV/atom
theoretical density	3.858	g/cm3
VASP energy	-2.7198	eV per atom
D(E_F)	0.727	states/eV per atom
energy above the lowest structure with this stoichiometry	105.10	kJ per mole of atoms
spin magnetization	0.0	μB per formula unit



Entry 4:
This record from Alexandria describes a relaxed As2PCl crystal. The functional is GGA-PBE.

Structure (POSCAR):
```
As2PCl
1.0
-3.6824 -1.9322 -2.4881
2.3730 -1.9676 -1.9841
1.0281 -5.3964 2.6690
As Cl P
2 1 1
Direct
0.0000 0.0158 0.9297
0.5000 0.1772 0.1331
0.0000 0.4842 0.5759
0.5000 0.8228 0.8614
```

Output
formation energy (no corrections)	0.047	eV/atom
theoretical density	3.529	g/cm3
VASP energy	-4.0919	eV per atom
D(E_F)	0.145	states/eV per atom
energy above the lowest structure with this stoichiometry	0.00	kJ per mole of atoms
spin magnetization	0.0	μB per formula unit



Entry 5:
This record from Alexandria describes a relaxed As2PCl crystal. The functional is GGA-PBE.

Structure (POSCAR):
```
As2PCl
1.0
-2.5897 0.4361 -3.7606
-3.2956 -0.5787 2.2024
-1.9956 4.3661 1.8805
As Cl P
2 1 1
Direct
0.0000 0.9163 0.9163
0.0000 0.5837 0.5837
0.5000 0.2500 0.2500
0.5000 0.7500 0.7500
```

Output
formation energy (no corrections)	0.128	eV/atom
theoretical density	4.130	g/cm3
VASP energy	-4.0113	eV per atom
D(E_F)	0.229	states/eV per atom
energy above the lowest structure with this stoichiometry	7.77	kJ per mole of atoms
spin magnetization	0.0	μB per formula unit



Entry 6:
This record from Alexandria describes a relaxed AsPCl crystal. The functional is GGA-PBE.

Structure (POSCAR):
```
AsPCl
1.0
-1.4682 -1.5589 2.8445
2.6784 0.1463 2.5121
-2.3166 5.8959 2.2511
As P Cl
1 1 1
Direct
0.3520 0.7188 0.0212
0.7538 0.1025 0.8990
0.7779 0.1284 0.5931
```

Output
formation energy (no corrections)	-0.092	eV/atom
theoretical density	2.742	g/cm3
VASP energy	-4.0605	eV per atom
D(E_F)	0.212	states/eV per atom
energy above the lowest structure with this stoichiometry	13.36	kJ per mole of atoms
spin magnetization	0.0	μB per formula unit